This record from the Alexandria database describes a geometry-optimized Nd4Ho3 structure. The functional is GGA-PBE.

The space group is C2/m (No. 12) and the conventional cell measures 11.386, 5.112 and 8.108 Å, with angles of 90.00, 98.12 and 90.00 degrees. Symmetry generates all atoms from Nd at (0.142, 0.000, 0.426), Nd at (0.214, 0.500, 0.141), Ho at (0.000, 0.000, 0.000) and Ho at (0.071, 0.500, 0.714).

The formation energy comes out at 11 kJ/mol of formula units. For the density of states at the Fermi level, the calculation gives 18.87 states/eV per cell.

***

This record from the Alexandria database describes a geometry-optimized Nd3Ho structure. The functional is GGA-PBE.

The space group is P2_1/m (No. 11) and the conventional cell measures 8.667, 3.679 and 8.674 Å, with angles of 90.00, 94.55 and 90.00 degrees. Symmetry generates all atoms from Nd at (0.084, 0.250, 0.163), Nd at (0.170, 0.250, 0.587), Nd at (0.416, 0.750, 0.331) and Ho at (0.337, 0.750, 0.920).

The formation energy comes out at 11 kJ/mol of formula units. For the density of states at the Fermi level, the calculation gives 13.83 states/eV per cell.

***

This record from the Alexandria database describes a geometry-optimized Nd3Ho4 structure. The functional is GGA-PBE.

The space group is C2/m (No. 12) and the conventional cell measures 11.360, 5.081 and 8.032 Å, with angles of 90.00, 98.21 and 90.00 degrees. Symmetry generates all atoms from Nd at (0.000, 0.000, 0.000), Nd at (0.214, 0.500, 0.146), Ho at (0.072, 0.500, 0.709) and Ho at (0.142, 0.000, 0.430).

The formation energy comes out at 13 kJ/mol of formula units. For the density of states at the Fermi level, the calculation gives 19.67 states/eV per cell.

***

This record from the Alexandria database describes a geometry-optimized Nd13Ho3 structure. The functional is GGA-PBE.

The space group is Amm2 (No. 38) and the conventional cell measures 10.326, 10.321 and 10.329 Å, with angles of 90.00, 90.00 and 90.00 degrees. Symmetry generates all atoms from Nd at (0.000, 0.000, 0.000), Nd at (0.000, 0.000, 0.495), Nd at (0.000, 0.248, 0.248), Nd at (0.251, 0.000, 0.749), Nd at (0.251, 0.249, 0.998), Nd at (0.500, 0.000, 0.496), Nd at (0.500, 0.248, 0.248), Ho at (0.252, 0.000, 0.246) and Ho at (0.500, 0.000, 0.000).

The formation energy comes out at 21 kJ/mol of formula units. For the density of states at the Fermi level, the calculation gives 46.83 states/eV per cell.

***

This record from the Alexandria database describes a geometry-optimized Nd5Ho structure. The functional is GGA-PBE.

The space group is Pmmn (No. 59, origin choice 2) and the conventional cell measures 5.177, 10.947 and 7.306 Å, with angles of 90.00, 90.00 and 90.00 degrees. Symmetry generates all atoms from Nd at (0.250, 0.083, 0.124), Nd at (0.250, 0.085, 0.626), Nd at (0.250, 0.750, 0.626) and Ho at (0.250, 0.750, 0.123).

The formation energy comes out at 8 kJ/mol of formula units. For the density of states at the Fermi level, the calculation gives 16.85 states/eV per cell.

***

This record from the Alexandria database describes a geometry-optimized Nd6Ho structure. The functional is GGA-PBE.

The space group is Im-3m (No. 229) and the conventional cell measures 8.198, 8.198 and 8.198 Å, with angles of 90.00, 90.00 and 90.00 degrees. Symmetry generates all atoms from Nd at (0.000, 0.250, 0.500) and Ho at (0.000, 0.000, 0.000).

The formation energy comes out at 851 kJ/mol of formula units. For the density of states at the Fermi level, the calculation gives 11.08 states/eV per cell.

***

This record from the Alexandria database describes a geometry-optimized Nd2Ho13 structure. The functional is GGA-PBE.

The space group is P-1 (No. 2) and the conventional cell measures 6.607, 8.919 and 8.934 Å, with angles of 65.47, 81.81 and 81.52 degrees. Symmetry generates all atoms from Nd at (0.115, 0.279, 0.414), Ho at (0.000, 0.500, 0.000), Ho at (0.096, 0.949, 0.753), Ho at (0.204, 0.706, 0.195), Ho at (0.294, 0.134, 0.967), Ho at (0.297, 0.470, 0.630), Ho at (0.404, 0.900, 0.397) and Ho at (0.480, 0.669, 0.840).

The formation energy comes out at 99 kJ/mol of formula units. For the density of states at the Fermi level, the calculation gives 24.75 states/eV per cell.

***

This record from the Alexandria database describes a geometry-optimized Nd3Ho structure. The functional is GGA-PBE.

The space group is Pm-3m (No. 221) and the conventional cell measures 5.149, 5.149 and 5.149 Å, with angles of 90.00, 90.00 and 90.00 degrees. Symmetry generates all atoms from Nd at (0.000, 0.000, 0.500) and Ho at (0.500, 0.500, 0.500).

The formation energy comes out at 6 kJ/mol of formula units. For the density of states at the Fermi level, the calculation gives 6.72 states/eV per cell.

***

This record from the Alexandria database describes a geometry-optimized Nd3Ho structure. The functional is GGA-PBE.

The space group is I4/mmm (No. 139) and the conventional cell measures 5.156, 5.156 and 10.288 Å, with angles of 90.00, 90.00 and 90.00 degrees. Symmetry generates all atoms from Nd at (0.000, 0.000, 0.000), Nd at (0.000, 0.500, 0.250) and Ho at (0.000, 0.000, 0.500).

The formation energy comes out at 6 kJ/mol of formula units. For the density of states at the Fermi level, the calculation gives 11.77 states/eV per cell.

***

This record from the Alexandria database describes a geometry-optimized Nd4Ho5 structure. The functional is GGA-PBE.

The space group is I4/mmm (No. 139) and the conventional cell measures 10.793, 10.793 and 5.067 Å, with angles of 90.00, 90.00 and 90.00 degrees. Symmetry generates all atoms from Nd at (0.167, 0.167, 0.000), Ho at (0.000, 0.000, 0.500) and Ho at (0.000, 0.335, 0.500).

The formation energy comes out at 16 kJ/mol of formula units. For the density of states at the Fermi level, the calculation gives 26.20 states/eV per cell.

***

This record from the Alexandria database describes a geometry-optimized Nd7Ho2 structure. The functional is GGA-PBE.

The space group is P-31m (No. 162) and the conventional cell measures 6.3195, 6.3195 and 8.9250 Å, with angles of 90.00, 90.00 and 120.00 degrees. Symmetry generates all atoms from Nd at (0.0000, 0.0000, 0.0000), Nd at (0.0000, 0.3341, 0.6700) and Ho at (0.3333, 0.6667, 0.0000).

The formation energy comes out at 14 kJ/mol of formula units. For the density of states at the Fermi level, the calculation gives 12.69 states/eV per cell.

***

This record from the Alexandria database describes a geometry-optimized NdHo7 structure. The functional is GGA-PBE.

The space group is Fm-3m (No. 225) and the conventional cell measures 10.006, 10.006 and 10.006 Å, with angles of 90.00, 90.00 and 90.00 degrees. Symmetry generates all atoms from Nd at (0.000, 0.000, 0.000), Ho at (0.000, 0.000, 0.500) and Ho at (0.000, 0.250, 0.250).

The formation energy comes out at 15 kJ/mol of formula units. For the density of states at the Fermi level, the calculation gives 42.04 states/eV per cell.

***

This record from the Alexandria database describes a geometry-optimized NdHo2Ni2 structure. The functional is GGA-PBE.

The space group is C2/m (No. 12) and the conventional cell measures 11.628, 3.808 and 5.494 Å, with angles of 90.00, 103.95 and 90.00 degrees. Symmetry generates all atoms from Nd at (0.000, 0.000, 0.000), Ho at (0.149, 0.500, 0.587) and Ni at (0.219, 0.500, 0.115).

The formation energy comes out at -110 kJ/mol of formula units. For the density of states at the Fermi level, the calculation gives 12.59 states/eV per cell.

***

This record from the Alexandria database describes a geometry-optimized NdHoNi4 structure. The functional is GGA-PBE.

The space group is F-43m (No. 216) and the conventional cell measures 7.231, 7.231 and 7.231 Å, with angles of 90.00, 90.00 and 90.00 degrees. Symmetry generates all atoms from Nd at (0.000, 0.000, 0.000), Ho at (0.250, 0.250, 0.250) and Ni at (0.124, 0.124, 0.624).

The formation energy comes out at -223 kJ/mol of formula units. For the density of states at the Fermi level, the calculation gives 15.83 states/eV per cell.

***

This record from the Alexandria database describes a geometry-optimized Nd2HoNi structure. The functional is GGA-PBE.

The space group is R-3m (No. 166, hexagonal axes) and the conventional cell measures 3.6620, 3.6620 and 31.4814 Å, with angles of 90.00, 90.00 and 120.00 degrees. Symmetry generates all atoms from Nd at (0.0000, 0.0000, 0.1100), Ho at (0.0000, 0.0000, 0.0000) and Ni at (0.0000, 0.0000, 0.5000).

The formation energy comes out at 56 kJ/mol of formula units. For the density of states at the Fermi level, the calculation gives 16.41 states/eV per cell.

***

This record from the Alexandria database describes a geometry-optimized NdHo4Ni4 structure. The functional is GGA-PBE.

The space group is P4_2/n (No. 86, origin choice 2) and the conventional cell measures 8.624, 8.624 and 5.561 Å, with angles of 90.00, 90.00 and 90.00 degrees. Symmetry generates all atoms from Nd at (0.250, 0.250, 0.250), Ho at (0.073, 0.659, 0.153) and Ni at (0.032, 0.613, 0.641).

The formation energy comes out at -225 kJ/mol of formula units. For the density of states at the Fermi level, the calculation gives 15.95 states/eV per cell.

***

This record from the Alexandria database describes a geometry-optimized NdHo12Ni6 structure. The functional is GGA-PBE.

The space group is Im-3 (No. 204) and the conventional cell measures 9.805, 9.805 and 9.805 Å, with angles of 90.00, 90.00 and 90.00 degrees. Symmetry generates all atoms from Nd at (0.000, 0.000, 0.000), Ho at (0.000, 0.184, 0.311) and Ni at (0.000, 0.376, 0.500).

The formation energy comes out at -456 kJ/mol of formula units. For the density of states at the Fermi level, the calculation gives 45.38 states/eV per cell.

***

This record from the Alexandria database describes a geometry-optimized NdHoNi10 structure. The functional is GGA-PBE.

The space group is Pmmm (No. 47) and the conventional cell measures 3.960, 4.916 and 8.508 Å, with angles of 90.00, 90.00 and 90.00 degrees. Symmetry generates all atoms from Nd at (0.000, 0.000, 0.000), Ho at (0.000, 0.500, 0.500), Ni at (0.000, 0.000, 0.337), Ni at (0.000, 0.500, 0.171), Ni at (0.500, 0.000, 0.500), Ni at (0.500, 0.252, 0.254) and Ni at (0.500, 0.500, 0.000).

The formation energy comes out at -351 kJ/mol of formula units. For the density of states at the Fermi level, the calculation gives 13.75 states/eV per cell.

***

This record from the Alexandria database describes a geometry-optimized NdHo6Ni2 structure. The functional is GGA-PBE.

The space group is Immm (No. 71) and the conventional cell measures 9.120, 10.196 and 10.219 Å, with angles of 90.00, 90.00 and 90.00 degrees. Symmetry generates all atoms from Nd at (0.000, 0.000, 0.000), Nd at (0.000, 0.500, 0.000), Ho at (0.000, 0.222, 0.221), Ho at (0.196, 0.189, 0.500), Ho at (0.196, 0.500, 0.308), Ni at (0.000, 0.000, 0.373) and Ni at (0.000, 0.381, 0.500).

The formation energy comes out at -113 kJ/mol of formula units. For the density of states at the Fermi level, the calculation gives 48.42 states/eV per cell.

***

This record from the Alexandria database describes a geometry-optimized NdHo2Ni structure. The functional is GGA-PBE.

The space group is R3m (No. 160, hexagonal axes) and the conventional cell measures 3.8270, 3.8270 and 26.7745 Å, with angles of 90.00, 90.00 and 120.00 degrees. Symmetry generates all atoms from Nd at (0.0000, 0.0000, 0.0000), Ho at (0.0000, 0.0000, 0.2264), Ho at (0.0000, 0.0000, 0.4451) and Ni at (0.0000, 0.0000, 0.8365).

The formation energy comes out at -48 kJ/mol of formula units. For the density of states at the Fermi level, the calculation gives 13.78 states/eV per cell.